A plane-wave DFT calculation with GGA-PBE was carried out for a geometry-optimized Cr2SiW structure.

Unit cell a=4.805 b=4.805 c=4.123 alpha=64.58 beta=64.58 gamma=37.56
Fractional coordinates of all 4 atoms:
W 0.250 0.250 0.250
Cr 0.501 0.501 0.498
Cr 0.999 0.999 0.002
Si 0.750 0.750 0.750

Calculated values
ρ   10.14 Mg/m³
Raw formation energy   -0.049 eV per atom
Energy   -0.695 Ry per atom
Volume   52 Å³/f.u.

---

A plane-wave DFT calculation with GGA-PBE was carried out for a geometry-optimized ZrAgMo3 structure.

Unit cell a=4.781 b=4.781 c=4.781 alpha=90.00 beta=90.00 gamma=90.00
Fractional coordinates of all 5 atoms:
Mo 0.500 0.000 0.000
Mo 0.000 0.500 0.000
Mo 0.000 0.000 0.500
Zr 0.000 0.000 0.000
Ag 0.500 0.500 0.500

Calculated values
ρ   7.40 Mg/m³
Formation enthalpy at 0 K   2.052 eV/atom
Polymorph energy (0 for the lowest one)   0.00 eV per formula unit
Energy   -0.494 Ry per atom
Volume   109 Å³/f.u.

---

A plane-wave DFT calculation with GGA-PBE was carried out for a geometry-optimized Y2CdSe structure.

Unit cell a=4.217 b=4.209 c=6.040 alpha=90.00 beta=90.00 gamma=90.00
Fractional coordinates of all 4 atoms:
Y 0.500 0.500 0.375
Y 0.000 0.000 0.875
Cd 0.000 0.000 0.375
Se 0.500 0.500 0.875

Calculated values
ρ   5.72 Mg/m³
Raw formation energy   -0.900 eV per atom
Polymorph energy (0 for the lowest one)   0.55 eV per formula unit
Energy   -0.385 Ry per atom
Volume   107 Å³/f.u.

---

Q: volume of number 3 (Y2CdSe)?
A: 107 Å³/f.u.

---

Q: Look up the energy of the first one.
A: -0.695 Ry per atom

---

Q: What is the volume in the first record?
A: 52 Å³/f.u.